Entry 1:
VASP calculation (GGA-PBEsol) on crystalline LiLa2Ag at its relaxed geometry.

a = 7.537 Å, b = 7.537 Å, c = 7.537 Å
α = 90.00°, β = 90.00°, γ = 90.00°
Space group Fm-3m (No. 225)
Inequivalent atoms, fractional coordinates:
Li 0.000 0.000 0.000 (multiplicity 4)
La 0.250 0.250 0.250 (multiplicity 8)
Ag 0.000 0.000 0.500 (multiplicity 4)

Summary:
Energy above the lowest structure with this stoichiometry in eV per atom: 0.035
Crystal system: cubic
Energy in eV per atom: -4.016

Entry 2:
VASP calculation (GGA-PBEsol) on crystalline Lu2Ga8Co at its relaxed geometry.

a = 4.124 Å, b = 4.124 Å, c = 10.801 Å
α = 90.00°, β = 90.00°, γ = 90.00°
Space group P4/mmm (No. 123)
Inequivalent atoms, fractional coordinates:
Lu 0.000 0.000 0.193 (multiplicity 2)
Ga 0.000 0.500 0.000 (multiplicity 2)
Ga 0.000 0.500 0.381 (multiplicity 4)
Ga 0.500 0.500 0.194 (multiplicity 2)
Co 0.000 0.000 0.500 (multiplicity 1)

Summary:
Crystal system: tetragonal
Energy in eV per atom: -4.537

Entry 3:
VASP calculation (GGA-PBEsol) on crystalline ZnSb2P at its relaxed geometry.

a = 3.414 Å, b = 5.167 Å, c = 9.462 Å
α = 90.00°, β = 90.00°, γ = 90.00°
Space group Imm2 (No. 44)
Inequivalent atoms, fractional coordinates:
Zn 0.000 0.000 0.000 (multiplicity 2)
Sb 0.000 0.000 0.420 (multiplicity 2)
Sb 0.000 0.500 0.243 (multiplicity 2)
P 0.000 0.500 0.691 (multiplicity 2)

Summary:
Energy above the lowest structure with this stoichiometry in eV per atom: 0.166
Crystal system: orthorhombic
Energy in eV per atom: -3.865

Entry 4:
VASP calculation (GGA-PBEsol) on crystalline MgTi4MnZnNiO12 at its relaxed geometry.

a = 5.051 Å, b = 5.450 Å, c = 8.756 Å
α = 105.49°, β = 90.01°, γ = 117.48°
Space group P1 (No. 1)
Inequivalent atoms, fractional coordinates:
Mg 0.000 0.000 0.000 (multiplicity 1)
Ti 0.183 0.377 0.391 (multiplicity 1)
Ti 0.252 0.503 0.751 (multiplicity 1)
Ti 0.690 0.372 0.893 (multiplicity 1)
Ti 0.749 0.503 0.243 (multiplicity 1)
Mn 0.931 0.866 0.640 (multiplicity 1)
Zn 0.508 0.019 0.496 (multiplicity 1)
Ni 0.445 0.891 0.145 (multiplicity 1)
O 0.003 0.677 0.796 (multiplicity 1)
O 0.026 0.673 0.431 (multiplicity 1)
O 0.406 0.200 0.706 (multiplicity 1)
O 0.426 0.194 0.341 (multiplicity 1)
O 0.461 0.193 0.038 (multiplicity 1)
O 0.473 0.673 0.600 (multiplicity 1)
O 0.499 0.676 0.289 (multiplicity 1)
O 0.532 0.678 0.938 (multiplicity 1)
O 0.897 0.192 0.206 (multiplicity 1)
O 0.933 0.196 0.844 (multiplicity 1)
O 0.960 0.199 0.539 (multiplicity 1)
O 0.985 0.677 0.100 (multiplicity 1)

Summary:
Crystal system: triclinic
Energy in eV per atom: -8.235

Entry 5:
VASP calculation (GGA-PBEsol) on crystalline MnSiTe2N at its relaxed geometry.

a = 5.558 Å, b = 5.558 Å, c = 3.245 Å
α = 90.00°, β = 90.00°, γ = 90.00°
Space group P4/mmm (No. 123)
Inequivalent atoms, fractional coordinates:
Mn 0.000 0.000 0.000 (multiplicity 1)
Si 0.500 0.500 0.500 (multiplicity 1)
Te 0.000 0.500 0.500 (multiplicity 2)
N 0.500 0.500 0.000 (multiplicity 1)

Summary:
Crystal system: tetragonal
Energy in eV per atom: -5.881

Entry 6:
VASP calculation (GGA-PBEsol) on crystalline K2H12RuS2O14 at its relaxed geometry.

a = 6.126 Å, b = 12.149 Å, c = 8.792 Å
α = 90.00°, β = 104.55°, γ = 90.00°
Space group P2_1/c (No. 14)
Inequivalent atoms, fractional coordinates:
K 0.154 0.156 0.358 (multiplicity 4)
H 0.149 0.557 0.598 (multiplicity 4)
H 0.168 0.648 0.471 (multiplicity 4)
H 0.174 0.087 0.783 (multiplicity 4)
H 0.409 0.124 0.745 (multiplicity 4)
H 0.424 0.601 0.227 (multiplicity 4)
H 0.497 0.693 0.361 (multiplicity 4)
Ru 0.500 0.000 0.000 (multiplicity 2)
S 0.226 0.633 0.913 (multiplicity 4)
O 0.078 0.730 0.915 (multiplicity 4)
O 0.111 0.560 0.780 (multiplicity 4)
O 0.186 0.567 0.494 (multiplicity 4)
O 0.257 0.570 0.061 (multiplicity 4)
O 0.330 0.115 0.831 (multiplicity 4)
O 0.449 0.671 0.891 (multiplicity 4)
O 0.464 0.118 0.170 (multiplicity 4)

Summary:
Crystal system: monoclinic
Energy in eV per atom: -5.579

Entry 7:
VASP calculation (GGA-PBEsol) on crystalline CrCoNi2 at its relaxed geometry.

a = 3.419 Å, b = 3.419 Å, c = 7.131 Å
α = 90.00°, β = 90.00°, γ = 90.00°
Space group I4/mmm (No. 139)
Inequivalent atoms, fractional coordinates:
Cr 0.000 0.000 0.000 (multiplicity 2)
Co 0.000 0.000 0.500 (multiplicity 2)
Ni 0.000 0.500 0.250 (multiplicity 4)

Summary:
Crystal system: tetragonal
Energy in eV per atom: -7.553

Entry 8:
VASP calculation (GGA-PBEsol) on crystalline ZrBe2FeBr at its relaxed geometry.

a = 4.289 Å, b = 4.289 Å, c = 4.343 Å
α = 90.00°, β = 90.00°, γ = 90.00°
Space group P4/mmm (No. 123)
Inequivalent atoms, fractional coordinates:
Zr 0.000 0.000 0.000 (multiplicity 1)
Be 0.000 0.500 0.500 (multiplicity 2)
Fe 0.500 0.500 0.000 (multiplicity 1)
Br 0.500 0.500 0.500 (multiplicity 1)

Summary:
Crystal system: tetragonal
Energy in eV per atom: -4.426

Entry 9:
VASP calculation (GGA-PBEsol) on crystalline Lu2PdRu at its relaxed geometry.

a = 6.636 Å, b = 6.636 Å, c = 6.636 Å
α = 90.00°, β = 90.00°, γ = 90.00°
Space group Fm-3m (No. 225)
Inequivalent atoms, fractional coordinates:
Lu 0.250 0.250 0.250 (multiplicity 8)
Pd 0.000 0.000 0.000 (multiplicity 4)
Ru 0.000 0.000 0.500 (multiplicity 4)

Summary:
Crystal system: cubic
Energy in eV per atom: -7.215

Entry 10:
VASP calculation (GGA-PBEsol) on crystalline KRb2AsI6 at its relaxed geometry.

a = 12.157 Å, b = 12.157 Å, c = 12.157 Å
α = 90.00°, β = 90.00°, γ = 90.00°
Space group Fm-3m (No. 225)
Inequivalent atoms, fractional coordinates:
K 0.000 0.000 0.000 (multiplicity 4)
Rb 0.250 0.250 0.250 (multiplicity 8)
As 0.000 0.000 0.500 (multiplicity 4)
I 0.000 0.000 0.268 (multiplicity 24)

Summary:
Crystal system: cubic
Energy in eV per atom: -2.778

Entry 11:
VASP calculation (GGA-PBEsol) on crystalline BaBr3O at its relaxed geometry.

a = 4.915 Å, b = 4.915 Å, c = 4.915 Å
α = 90.00°, β = 90.00°, γ = 90.00°
Space group Pm-3m (No. 221)
Inequivalent atoms, fractional coordinates:
Ba 0.000 0.000 0.000 (multiplicity 1)
Br 0.000 0.500 0.500 (multiplicity 3)
O 0.500 0.500 0.500 (multiplicity 1)

Summary:
Energy above the lowest structure with this stoichiometry in eV per atom: 0.000
Crystal system: cubic
Energy in eV per atom: -3.504

Entry 12:
VASP calculation (GGA-PBEsol) on crystalline Re2SbSe at its relaxed geometry.

a = 3.114 Å, b = 4.406 Å, c = 9.608 Å
α = 90.00°, β = 90.00°, γ = 90.00°
Space group Imm2 (No. 44)
Inequivalent atoms, fractional coordinates:
Re 0.000 0.000 0.000 (multiplicity 2)
Re 0.000 0.500 0.236 (multiplicity 2)
Sb 0.000 0.500 0.759 (multiplicity 2)
Se 0.000 0.000 0.526 (multiplicity 2)

Summary:
Energy above the lowest structure with this stoichiometry in eV per atom: 0.369
Crystal system: orthorhombic
Energy in eV per atom: -8.080